(1)
Here is an optimized crystal structure of La4HoTl2 from Alexandria via LeMat-Bulk. Energies are from PBE-GGA.

Results
raw total energy = -4.16 eV per atom
crystal system = trigonal
calculated formation energy = -0.02 eV/atom
DOS(E_F) = 13.4 states/eV/f.u.

Unit cell a=5.6781 b=5.6781 c=9.7463 alpha=73.06 beta=73.06 gamma=60.00
Fractional positions:
La: 0.8702 0.8702 0.3895
La: 0.1298 0.1298 0.6105
La: 0.7289 0.7289 0.8132
La: 0.2711 0.2711 0.1868
Tl: 0.6104 0.6104 0.1689
Tl: 0.3896 0.3896 0.8311
Ho: 0.5000 0.5000 0.5000

=====

(2)
Here is an optimized crystal structure of TbTl3 from Alexandria via LeMat-Bulk. Energies are from PBE-GGA.

Results
raw total energy = -3.09 eV per atom
crystal system = orthorhombic
calculated formation energy = -0.16 eV/atom
DOS(E_F) = 2.6 states/eV/f.u.

Unit cell a=3.7803 b=5.4468 c=6.4437 alpha=115.00 beta=107.06 gamma=90.00
Fractional positions:
Tb: 0.0000 0.9806 0.0000
Tl: 0.5000 0.4711 0.0000
Tl: 0.2532 0.6107 0.5064
Tl: 0.7468 0.1043 0.4936

=====

(3)
Here is an optimized crystal structure of Pu2ThUN4 from Alexandria via LeMat-Bulk. Energies are from PBE-GGA.

Results
raw total energy = -11.40 eV per atom
E_form (uncorrected) = -1.312 eV/atom
crystal system = tetragonal
DOS(E_F) = 15.3 states/eV/f.u.

Unit cell a=4.9800 b=4.9800 c=6.1063 alpha=114.06 beta=114.06 gamma=90.00
Each line ends with the local moment (μB).
Fractional positions:
Pu: 0.0000 0.0000 0.0000  4.67
Pu: 0.2500 0.7500 0.5000  -4.78
N: 0.9830 0.4830 0.9660  -0.05
N: 0.7540 0.7540 0.5080  0.04
N: 0.5170 0.0170 0.0340  -0.05
N: 0.2460 0.2460 0.4920  0.04
U: 0.7500 0.2500 0.5000  -0.04
Th: 0.5000 0.5000 0.0000  0.01

=====

(4)
Here is an optimized crystal structure of Tl2HgPb from Alexandria via LeMat-Bulk. Energies are from PBE-GGA.

Results
raw total energy = -2.10 eV per atom
crystal system = tetragonal
calculated formation energy = 0.09 eV/atom
DOS(E_F) = 2.3 states/eV/f.u.

Unit cell a=8.7225 b=8.7225 c=6.9866 alpha=51.37 beta=51.37 gamma=90.00
Fractional positions:
Tl: 0.8750 0.8596 0.7500
Tl: 0.6096 0.1250 0.2500
Tl: 0.3750 0.3904 0.7500
Tl: 0.1404 0.6250 0.2500
Hg: 0.5000 0.5000 0.0000
Hg: 0.2500 0.7500 0.5000
Pb: 0.0000 0.0000 0.0000
Pb: 0.7500 0.2500 0.5000

=====

(5)
Here is an optimized crystal structure of YSe2Br from Alexandria via LeMat-Bulk. Energies are from PBE-GGA.

Results
raw total energy = -4.62 eV per atom
E_form (uncorrected) = -0.843 eV/atom
crystal system = trigonal
DOS(E_F) = 1.2 states/eV/f.u.

Unit cell a=10.3539 b=10.3539 c=10.3539 alpha=22.59 beta=22.59 gamma=22.59
Each line ends with the local moment (μB).
Fractional positions:
Se: 0.2211 0.2211 0.2211  0.02
Se: 0.9932 0.9932 0.9932  1.16
Br: 0.7794 0.7794 0.7794  0.01
Y: 0.5064 0.5064 0.5064  0.01

=====

(6)
Here is an optimized crystal structure of LiY2Pb from Alexandria via LeMat-Bulk. Energies are from PBE-GGA.

Results
raw total energy = -4.87 eV per atom
crystal system = orthorhombic
calculated formation energy = -0.23 eV/atom
DOS(E_F) = 3.9 states/eV/f.u.

Unit cell a=3.5436 b=4.3206 c=7.0556 alpha=90.00 beta=90.00 gamma=90.00
Each line ends with the local moment (μB).
Fractional positions:
Y: 0.0000 0.0000 0.0028  0.17
Y: 0.0000 0.0000 0.4972  0.17
Pb: 0.5000 0.5000 0.7500  0.00
Li: 0.5000 0.5000 0.2500  0.02

=====

(7)
Here is an optimized crystal structure of WCl from Alexandria via LeMat-Bulk. Energies are from PBE-GGA.

Results
raw total energy = -6.86 eV per atom
E_form (uncorrected) = 0.542 eV/atom
crystal system = cubic
DOS(E_F) = 0.0 states/eV/f.u.

Unit cell a=8.5648 b=8.5648 c=8.5648 alpha=90.00 beta=90.00 gamma=90.00
Fractional positions:
Cl: 0.7347 0.7347 0.7347
Cl: 0.2653 0.7347 0.2653
Cl: 0.7653 0.2347 0.7653
Cl: 0.7347 0.2653 0.2653
Cl: 0.2347 0.7653 0.7653
Cl: 0.2653 0.2653 0.7347
Cl: 0.7653 0.7653 0.2347
Cl: 0.2347 0.2347 0.2347
W: 0.3982 0.3982 0.3982
W: 0.1018 0.1018 0.8982
W: 0.6018 0.6018 0.3982
W: 0.3982 0.6018 0.6018
W: 0.8982 0.1018 0.1018
W: 0.1018 0.8982 0.1018
W: 0.6018 0.3982 0.6018
W: 0.8982 0.8982 0.8982

=====

(8)
Here is an optimized crystal structure of LiHg2Mo from Alexandria via LeMat-Bulk. Energies are from PBE-GGA.

Results
raw total energy = -2.56 eV per atom
crystal system = tetragonal
calculated formation energy = 0.78 eV/atom
DOS(E_F) = 2.3 states/eV/f.u.

Unit cell a=4.2760 b=4.2760 c=9.9606 alpha=77.61 beta=77.61 gamma=90.00
Each line ends with the local moment (μB).
Fractional positions:
Mo: 0.7500 0.2500 0.5000  2.50
Mo: 0.0000 0.0000 0.0000  2.51
Li: 0.5000 0.5000 0.0000  0.00
Li: 0.2500 0.7500 0.5000  0.00
Hg: 0.8750 0.8646 0.7500  0.01
Hg: 0.3750 0.3854 0.7500  0.01
Hg: 0.6146 0.1250 0.2500  0.00
Hg: 0.1354 0.6250 0.2500  0.00